Entry 1:
The following is a GGA-PBE calculation of Pm2AlTe5 after structural relaxation, from Alexandria.

Summary:
Formation energy without anion corrections in kJ/mol of atoms: -81.3
Theoretical density in Mg/m³: 5.1

Cell lengths 6.182, 8.077, 13.428 Å; angles 90.00, 90.00, 112.50 degrees
Element x y z (fractional)
Pm: 0.833 0.666 0.428
Pm: 0.833 0.666 0.072
Pm: 0.167 0.334 0.572
Pm: 0.167 0.334 0.928
Al: 0.816 0.631 0.750
Al: 0.184 0.369 0.250
Te: 0.963 0.925 0.885
Te: 0.963 0.925 0.615
Te: 0.310 0.619 0.400
Te: 0.310 0.619 0.100
Te: 0.698 0.396 0.250
Te: 0.302 0.604 0.750
Te: 0.690 0.381 0.600
Te: 0.690 0.381 0.900
Te: 0.037 0.075 0.115
Te: 0.037 0.075 0.385

Entry 2:
The following is a GGA-PBE calculation of CaTiTcO6 after structural relaxation, from Alexandria.

Summary:
Formation energy without anion corrections in kJ/mol of atoms: -220.7
Theoretical density in Mg/m³: 4.0

Cell lengths 5.159, 5.159, 10.124 Å; angles 90.00, 90.00, 120.00 degrees
Each line ends with the local moment (μB).
Element x y z (fractional)
Ca: 0.000 0.000 0.000  0.01
Ca: 0.000 0.000 0.500  0.01
Ti: 0.667 0.333 0.250  0.07
Ti: 0.333 0.667 0.750  0.07
Tc: 0.333 0.667 0.250  0.81
Tc: 0.667 0.333 0.750  0.81
O: 0.629 0.634 0.145  0.01
O: 0.005 0.371 0.145  0.01
O: 0.371 0.005 0.645  0.01
O: 0.995 0.629 0.855  0.01
O: 0.366 0.371 0.355  0.01
O: 0.005 0.634 0.355  0.01
O: 0.634 0.005 0.855  0.01
O: 0.629 0.995 0.355  0.01
O: 0.995 0.366 0.645  0.01
O: 0.366 0.995 0.145  0.01
O: 0.634 0.629 0.645  0.01
O: 0.371 0.366 0.855  0.01

Entry 3:
The following is a GGA-PBE calculation of PuPaCuIr after structural relaxation, from Alexandria.

Summary:
Energy of formation from the pure elements in meV per atom: -442.1
Theoretical density in Mg/m³: 16.6

Cell lengths 4.694, 4.694, 4.694 Å; angles 60.00, 60.00, 60.00 degrees
Each line ends with the local moment (μB).
Element x y z (fractional)
Pa: 0.500 0.500 0.500  0.48
Ir: 0.250 0.250 0.250  -0.12
Cu: 0.000 0.000 0.000  -0.03
Pu: 0.750 0.750 0.750  4.84

Entry 4:
The following is a GGA-PBE calculation of Sr2Mg after structural relaxation, from Alexandria.

Summary:
Energy of formation from the pure elements in meV per atom: 2.5
Theoretical density in Mg/m³: 2.6

Cell lengths 6.204, 6.204, 7.655 Å; angles 90.00, 90.00, 120.00 degrees
Element x y z (fractional)
Mg: 0.333 0.667 0.750
Mg: 0.667 0.333 0.250
Sr: 0.000 0.000 0.000
Sr: 0.000 0.000 0.500
Sr: 0.333 0.667 0.250
Sr: 0.667 0.333 0.750

Entry 5:
The following is a GGA-PBE calculation of PPt3PbAu after structural relaxation, from Alexandria.

Summary:
Energy of formation from the pure elements in meV per atom: -176.7
Theoretical density in Mg/m³: 14.6

Cell lengths 6.336, 5.415, 7.553 Å; angles 69.00, 84.08, 73.26 degrees
Element x y z (fractional)
P: 0.750 0.016 0.969
P: 0.250 0.984 0.031
Pt: 0.557 0.752 0.899
Pt: 0.943 0.349 0.899
Pt: 0.750 0.177 0.645
Pt: 0.443 0.248 0.101
Pt: 0.057 0.651 0.101
Pt: 0.250 0.823 0.355
Pb: 0.250 0.240 0.520
Pb: 0.750 0.760 0.480
Au: 0.250 0.630 0.740
Au: 0.750 0.370 0.260

Entry 6:
The following is a GGA-PBE calculation of LiGaCo after structural relaxation, from Alexandria.

Summary:
Energy of formation from the pure elements in meV per atom: -111.0
Theoretical density in Mg/m³: 5.1

Cell lengths 3.630, 3.630, 6.678 Å; angles 90.00, 90.00, 90.00 degrees
Each line ends with the local moment (μB).
Element x y z (fractional)
Li: 0.000 0.500 0.841  -0.01
Li: 0.500 0.000 0.159  -0.01
Ga: 0.000 0.500 0.261  -0.05
Ga: 0.500 0.000 0.739  -0.05
Co: 0.500 0.500 0.500  0.96
Co: 0.000 0.000 0.500  0.96

Entry 7:
The following is a GGA-PBE calculation of LaTl2Pb after structural relaxation, from Alexandria.

Summary:
Energy of formation from the pure elements in meV per atom: -97.0
Theoretical density in Mg/m³: 9.8

Cell lengths 11.093, 11.093, 11.093 Å; angles 19.06, 19.06, 19.06 degrees
Element x y z (fractional)
La: 0.501 0.501 0.501
Pb: 0.748 0.748 0.748
Tl: 0.999 0.999 0.999
Tl: 0.252 0.252 0.252

Entry 8:
The following is a GGA-PBE calculation of NaPAuCl2 after structural relaxation, from Alexandria.

Summary:
Formation energy without anion corrections in kJ/mol of atoms: 48.4
Excess energy over the best structure of this formula in the dataset in meV per atom: 668
Theoretical density in Mg/m³: 3.9

Cell lengths 4.997, 4.997, 5.480 Å; angles 90.00, 90.00, 90.00 degrees
Each line ends with the local moment (μB).
Element x y z (fractional)
Na: 0.000 0.000 0.000  0.01
P: 0.000 0.000 0.500  0.98
Au: 0.500 0.500 0.500  0.10
Cl: 0.000 0.500 0.000  0.23
Cl: 0.500 0.000 0.000  0.23

Entry 9:
The following is a GGA-PBE calculation of CsNaMoSe4 after structural relaxation, from Alexandria.

Summary:
Formation energy without anion corrections in kJ/mol of atoms: -75.2
Theoretical density in Mg/m³: 3.9

Cell lengths 6.807, 7.415, 10.071 Å; angles 90.00, 108.88, 90.00 degrees
Element x y z (fractional)
Cs: 0.725 0.750 0.923
Cs: 0.275 0.250 0.077
Na: 0.776 0.750 0.457
Na: 0.224 0.250 0.543
Mo: 0.196 0.750 0.320
Mo: 0.804 0.250 0.680
Se: 0.022 0.503 0.722
Se: 0.978 0.003 0.278
Se: 0.978 0.497 0.278
Se: 0.022 0.997 0.722
Se: 0.396 0.750 0.169
Se: 0.604 0.250 0.831
Se: 0.399 0.750 0.554
Se: 0.601 0.250 0.446

Entry 10:
The following is a GGA-PBE calculation of Tb3Y4Th after structural relaxation, from Alexandria.

Summary:
Energy of formation from the pure elements in meV per atom: 167.5
Excess energy over the best structure of this formula in the dataset in meV per atom: 0
Theoretical density in Mg/m³: 6.7

Cell lengths 3.460, 6.762, 11.850 Å; angles 106.69, 98.39, 90.00 degrees
Element x y z (fractional)
Y: 0.742 0.239 0.483
Y: 0.258 0.761 0.517
Y: 0.124 0.364 0.248
Y: 0.876 0.636 0.752
Tb: 0.000 0.500 0.000
Tb: 0.123 0.883 0.246
Tb: 0.877 0.117 0.754
Th: 0.500 0.000 0.000

Entry 11:
The following is a GGA-PBE calculation of CaAc4Y3Se8 after structural relaxation, from Alexandria.

Summary:
Formation energy without anion corrections in kJ/mol of atoms: -176.5
Theoretical density in Mg/m³: 6.9

Cell lengths 8.415, 8.756, 8.415 Å; angles 118.72, 120.00, 90.00 degrees
Element x y z (fractional)
Ca: 0.000 0.500 0.000
Ac: 0.500 0.000 0.000
Ac: 0.500 0.000 0.500
Ac: 0.000 0.000 0.000
Ac: 0.000 0.000 0.500
Y: 0.500 0.500 0.000
Y: 0.500 0.500 0.500
Y: 0.000 0.500 0.500
Se: 0.241 0.721 0.980
Se: 0.241 0.721 0.482
Se: 0.260 0.279 0.520
Se: 0.739 0.721 0.980
Se: 0.261 0.279 0.020
Se: 0.740 0.721 0.480
Se: 0.759 0.279 0.518
Se: 0.759 0.279 0.020

Entry 12:
The following is a GGA-PBE calculation of Dy5Cd4In after structural relaxation, from Alexandria.

Summary:
Energy of formation from the pure elements in meV per atom: -352.0
Theoretical density in Mg/m³: 8.7

Cell lengths 3.745, 3.745, 18.753 Å; angles 90.00, 90.00, 90.00 degrees
Element x y z (fractional)
Dy: 0.500 0.500 0.102
Dy: 0.500 0.500 0.300
Dy: 0.500 0.500 0.500
Dy: 0.500 0.500 0.700
Dy: 0.500 0.500 0.898
Cd: 0.000 0.000 0.202
Cd: 0.000 0.000 0.400
Cd: 0.000 0.000 0.600
Cd: 0.000 0.000 0.798
In: 0.000 0.000 0.000

Entry 13:
The following is a GGA-PBE calculation of KRb2GeAs2 after structural relaxation, from Alexandria.

Summary:
Energy of formation from the pure elements in meV per atom: -312.9
Theoretical density in Mg/m³: 3.3

Cell lengths 8.105, 6.917, 9.342 Å; angles 111.73, 115.71, 90.00 degrees
Element x y z (fractional)
K: 0.000 0.750 0.000
K: 0.000 0.250 0.000
Rb: 0.480 0.181 0.361
Rb: 0.520 0.819 0.639
Rb: 0.119 0.319 0.639
Rb: 0.881 0.681 0.361
Ge: 0.500 0.750 0.000
Ge: 0.500 0.250 0.000
As: 0.772 0.088 0.175
As: 0.403 0.588 0.175
As: 0.597 0.412 0.825
As: 0.228 0.912 0.825

Entry 14:
The following is a GGA-PBE calculation of RbBa3I6 after structural relaxation, from Alexandria.

Summary:
Formation energy without anion corrections in kJ/mol of atoms: -154.0
Theoretical density in Mg/m³: 4.0

Cell lengths 4.981, 14.871, 15.427 Å; angles 114.10, 90.00, 90.00 degrees
Each line ends with the local moment (μB).
Element x y z (fractional)
Rb: 0.250 0.295 0.941  0.00
Rb: 0.750 0.705 0.059  0.00
Ba: 0.250 0.134 0.555  0.20
Ba: 0.750 0.866 0.445  0.20
Ba: 0.250 0.534 0.286  0.01
Ba: 0.750 0.466 0.714  0.01
Ba: 0.250 0.899 0.836  0.02
Ba: 0.750 0.101 0.164  0.02
I: 0.250 0.374 0.546  0.00
I: 0.750 0.626 0.454  0.00
I: 0.250 0.917 0.072  0.00
I: 0.750 0.083 0.928  0.00
I: 0.250 0.934 0.630  0.01
I: 0.750 0.066 0.370  0.01
I: 0.250 0.756 0.262  0.01
I: 0.750 0.244 0.738  0.01
I: 0.250 0.527 0.889  0.00
I: 0.750 0.473 0.111  0.00
I: 0.250 0.275 0.202  0.00
I: 0.750 0.725 0.798  0.00

Entry 15:
The following is a GGA-PBE calculation of Pr3Zn3Cd8 after structural relaxation, from Alexandria.

Summary:
Energy of formation from the pure elements in meV per atom: -248.8
Theoretical density in Mg/m³: 7.7

Cell lengths 4.977, 8.777, 8.777 Å; angles 65.73, 73.53, 73.53 degrees
Element x y z (fractional)
Pr: 0.500 0.500 0.500
Pr: 0.786 0.214 0.214
Pr: 0.214 0.786 0.786
Zn: 0.500 0.000 0.000
Zn: 0.000 0.858 0.142
Zn: 0.000 0.142 0.858
Cd: 0.638 0.066 0.657
Cd: 0.362 0.934 0.343
Cd: 0.638 0.657 0.066
Cd: 0.362 0.343 0.934
Cd: 0.857 0.789 0.496
Cd: 0.143 0.211 0.504
Cd: 0.857 0.496 0.789
Cd: 0.143 0.504 0.211

Entry 16:
The following is a GGA-PBE calculation of PrTmPb2 after structural relaxation, from Alexandria.

Summary:
Energy of formation from the pure elements in meV per atom: -441.7
Theoretical density in Mg/m³: 10.3

Cell lengths 4.536, 5.071, 5.071 Å; angles 90.00, 90.00, 90.00 degrees
Element x y z (fractional)
Pb: 0.000 0.000 0.500
Pb: 0.000 0.500 0.000
Pr: 0.500 0.000 0.000
Tm: 0.500 0.500 0.500

Entry 17:
The following is a GGA-PBE calculation of EuEr2Tm after structural relaxation, from Alexandria.

Summary:
Energy of formation from the pure elements in meV per atom: 170.1
Excess energy over the best structure of this formula in the dataset in meV per atom: 103
Theoretical density in Mg/m³: 8.4

Cell lengths 5.685, 5.685, 5.685 Å; angles 60.00, 60.00, 60.00 degrees
Each line ends with the local moment (μB).
Element x y z (fractional)
Eu: 0.000 0.000 0.000  6.89
Tm: 0.500 0.500 0.500  0.24
Er: 0.250 0.250 0.250  0.25
Er: 0.750 0.750 0.750  0.25

Entry 18:
The following is a GGA-PBE calculation of Zn3CuPd3 after structural relaxation, from Alexandria.

Summary:
Energy of formation from the pure elements in meV per atom: -307.9
Theoretical density in Mg/m³: 9.1

Cell lengths 5.941, 5.941, 5.968 Å; angles 90.01, 90.01, 88.28 degrees
Element x y z (fractional)
Zn: 0.000 0.000 0.763
Zn: 0.500 0.000 0.244
Zn: 0.000 0.500 0.244
Zn: 0.500 0.000 0.756
Zn: 0.000 0.500 0.756
Zn: 0.000 0.000 0.237
Cu: 0.263 0.263 0.000
Cu: 0.737 0.737 0.000
Pd: 0.253 0.253 0.501
Pd: 0.262 0.738 0.500
Pd: 0.738 0.262 0.500
Pd: 0.280 0.720 0.000
Pd: 0.720 0.280 0.000
Pd: 0.747 0.747 0.499

Entry 19:
The following is a GGA-PBE calculation of AcInGaAg3 after structural relaxation, from Alexandria.

Summary:
Energy of formation from the pure elements in meV per atom: -92.6
Theoretical density in Mg/m³: 8.2

Cell lengths 6.543, 7.025, 7.403 Å; angles 118.33, 90.00, 90.00 degrees
Element x y z (fractional)
Ac: 0.750 0.298 0.596
Ac: 0.250 0.702 0.404
In: 0.250 0.951 0.902
In: 0.750 0.049 0.098
Ga: 0.250 0.367 0.734
Ga: 0.750 0.633 0.266
Ag: 0.250 0.166 0.332
Ag: 0.000 0.304 0.000
Ag: 0.500 0.696 0.000
Ag: 0.500 0.304 0.000
Ag: 0.000 0.696 0.000
Ag: 0.750 0.834 0.668

Entry 20:
The following is a GGA-PBE calculation of TaAuBr after structural relaxation, from Alexandria.

Summary:
Formation energy without anion corrections in kJ/mol of atoms: 57.2
Excess energy over the best structure of this formula in the dataset in meV per atom: 586
Theoretical density in Mg/m³: 11.6

Cell lengths 4.521, 4.521, 4.521 Å; angles 60.00, 60.00, 60.00 degrees
Element x y z (fractional)
Au: 0.000 0.000 0.000
Br: 0.500 0.500 0.500
Ta: 0.750 0.750 0.750